(1)
The following is a DFT calculation (GGA-PBE) of a geometry-optimized Sc2Re2O5 structure.

a b c (Å): 3.425 3.425 8.947
angles (deg): 90.00 90.00 90.00
Space group P4/mmm (No. 123)
Symmetry-distinct sites (fractional):
1 Sc 0.000 0.000 0.233
2 Re 0.500 0.500 0.000
3 Re 0.500 0.500 0.500
4 O 0.000 0.000 0.000
5 O 0.000 0.500 0.367

E above lowest polymorph   146 meV/atom
Spin magnetization   2.54 μB/f.u.
Total energy   -8.400 eV/atom

(2)
The following is a DFT calculation (GGA-PBE) of a geometry-optimized Sc3ReO structure.

a b c (Å): 10.117 4.632 7.499
angles (deg): 90.00 112.48 90.00
Space group C2/m (No. 12)
Symmetry-distinct sites (fractional):
1 Sc 0.108 0.000 0.220
2 Sc 0.127 0.500 0.912
3 Sc 0.149 0.000 0.651
4 Re 0.104 0.500 0.453
5 O 0.133 0.000 0.938

Spin magnetization   0.01 μB/f.u.
Total energy   -8.555 eV/atom

(3)
The following is a DFT calculation (GGA-PBE) of a geometry-optimized Re2Si2O5 structure.

a b c (Å): 3.238 3.238 8.196
angles (deg): 90.00 90.00 90.00
Space group P4/mmm (No. 123)
Symmetry-distinct sites (fractional):
1 Re 0.000 0.000 0.000
2 Re 0.000 0.000 0.500
3 Si 0.500 0.500 0.200
4 O 0.000 0.500 0.302
5 O 0.500 0.500 0.500

E above lowest polymorph   248 meV/atom
Spin magnetization   0.56 μB/f.u.
Total energy   -6.997 eV/atom

(4)
The following is a DFT calculation (GGA-PBE) of a geometry-optimized Re2SiO6 structure.

a b c (Å): 5.230 4.439 9.309
angles (deg): 90.00 124.09 90.00
Space group P2_1/c (No. 14)
Symmetry-distinct sites (fractional):
1 Re 0.161 0.001 0.161
2 Si 0.500 0.000 0.000
3 O 0.177 0.721 0.338
4 O 0.230 0.239 0.999
5 O 0.498 0.218 0.837

Spin magnetization   0.56 μB/f.u.
Total energy   -8.293 eV/atom

(5)
The following is a DFT calculation (GGA-PBE) of a geometry-optimized Re2Si2O5 structure.

a b c (Å): 3.896 3.896 6.623
angles (deg): 90.00 90.00 90.00
Space group P4/mmm (No. 123)
Symmetry-distinct sites (fractional):
1 Re 0.000 0.000 0.179
2 Si 0.500 0.500 0.000
3 Si 0.500 0.500 0.500
4 O 0.000 0.000 0.500
5 O 0.000 0.500 0.246

E above lowest polymorph   0 meV/atom
Spin magnetization   0.00 μB/f.u.
Total energy   -7.245 eV/atom

(6)
The following is a DFT calculation (GGA-PBE) of a geometry-optimized Sm3ReO8 structure.

a b c (Å): 7.318 6.098 14.650
angles (deg): 90.00 110.71 90.00
Space group P2_1/c (No. 14)
Symmetry-distinct sites (fractional):
1 Sm 0.097 0.242 0.201
2 Sm 0.162 0.202 0.446
3 Sm 0.396 0.688 0.334
4 Re 0.320 0.746 0.090
5 O 0.089 0.698 0.980
6 O 0.145 0.027 0.841
7 O 0.168 0.653 0.170
8 O 0.188 0.527 0.827
9 O 0.250 0.045 0.096
10 O 0.378 0.051 0.590
11 O 0.468 0.203 0.789
12 O 0.477 0.698 0.520

Spin magnetization   0.00 μB/f.u.
Total energy   -8.317 eV/atom

(7)
The following is a DFT calculation (GGA-PBE) of a geometry-optimized Sm3Re2O9 structure.

a b c (Å): 5.514 6.789 10.852
angles (deg): 76.55 75.48 68.51
Space group P-1 (No. 2)
Symmetry-distinct sites (fractional):
1 Sm 0.009 0.215 0.268
2 Sm 0.228 0.157 0.884
3 Sm 0.298 0.604 0.370
4 Re 0.346 0.126 0.568
5 Re 0.484 0.613 0.908
6 O 0.056 0.114 0.721
7 O 0.072 0.209 0.473
8 O 0.129 0.814 0.939
9 O 0.177 0.503 0.198
10 O 0.286 0.425 0.580
11 O 0.345 0.472 0.818
12 O 0.389 0.168 0.072
13 O 0.406 0.805 0.597
14 O 0.412 0.927 0.311

Spin magnetization   0.00 μB/f.u.
Total energy   -8.558 eV/atom

(8)
The following is a DFT calculation (GGA-PBE) of a geometry-optimized Sm2ReO5 structure.

a b c (Å): 8.634 8.634 5.725
angles (deg): 90.00 90.00 90.00
Space group P4/n (No. 85, origin choice 2)
Symmetry-distinct sites (fractional):
1 Sm 0.100 0.892 0.250
2 Re 0.250 0.250 0.154
3 Re 0.250 0.250 0.544
4 O 0.048 0.159 0.102
5 O 0.048 0.340 0.605
6 O 0.250 0.750 0.000
7 O 0.250 0.750 0.500

Spin magnetization   0.00 μB/f.u.
Total energy   -8.597 eV/atom

(9)
The following is a DFT calculation (GGA-PBE) of a geometry-optimized SmRe2O8 structure.

a b c (Å): 6.2139 6.2139 5.3250
angles (deg): 90.00 90.00 120.00
Space group P-3 (No. 147)
Symmetry-distinct sites (fractional):
1 Sm 0.0000 0.0000 0.0000
2 Re 0.3333 0.6667 0.3473
3 O 0.1648 0.8098 0.2379
4 O 0.3333 0.6667 0.6742

Spin magnetization   0.41 μB/f.u.
Total energy   -8.252 eV/atom

(10)
The following is a DFT calculation (GGA-PBE) of a geometry-optimized Sm2ReO4 structure.

a b c (Å): 9.678 9.678 9.678
angles (deg): 90.00 90.00 90.00
Space group Fd-3m (No. 227, origin choice 2)
Symmetry-distinct sites (fractional):
1 Sm 0.000 0.000 0.000
2 Re 0.125 0.125 0.625
3 O 0.008 0.008 0.242

Spin magnetization   4.99 μB/f.u.
Total energy   -7.861 eV/atom

(11)
The following is a DFT calculation (GGA-PBE) of a geometry-optimized Sm2ZrReO6 structure.

a b c (Å): 5.566 5.566 8.200
angles (deg): 90.00 90.00 90.00
Space group I4/m (No. 87)
Symmetry-distinct sites (fractional):
1 Sm 0.000 0.500 0.250
2 Zr 0.000 0.000 0.000
3 Re 0.000 0.000 0.500
4 O 0.000 0.000 0.251
5 O 0.168 0.674 0.500

Spin magnetization   1.25 μB/f.u.
Total energy   -8.476 eV/atom

(12)
The following is a DFT calculation (GGA-PBE) of a geometry-optimized Re2Sn2O5 structure.

a b c (Å): 4.208 4.208 6.648
angles (deg): 90.00 90.00 90.00
Space group P4/mmm (No. 123)
Symmetry-distinct sites (fractional):
1 Re 0.000 0.000 0.000
2 Re 0.000 0.000 0.500
3 Sn 0.500 0.500 0.204
4 O 0.000 0.500 0.189
5 O 0.500 0.500 0.500

E above lowest polymorph   904 meV/atom
Spin magnetization   4.40 μB/f.u.
Total energy   -6.261 eV/atom

(13)
The following is a DFT calculation (GGA-PBE) of a geometry-optimized Re2Sn2O5 structure.

a b c (Å): 3.915 3.915 7.624
angles (deg): 90.00 90.00 90.00
Space group P4/mmm (No. 123)
Symmetry-distinct sites (fractional):
1 Re 0.000 0.000 0.216
2 Sn 0.500 0.500 0.000
3 Sn 0.500 0.500 0.500
4 O 0.000 0.000 0.500
5 O 0.000 0.500 0.235

E above lowest polymorph   0 meV/atom
Spin magnetization   0.01 μB/f.u.
Total energy   -7.164 eV/atom

(14)
The following is a DFT calculation (GGA-PBE) of a geometry-optimized ReTcSn2O6 structure.

a b c (Å): 7.940 7.940 7.940
angles (deg): 90.00 90.00 90.00
Space group Fm-3m (No. 225)
Symmetry-distinct sites (fractional):
1 Re 0.000 0.000 0.000
2 Tc 0.000 0.000 0.500
3 Sn 0.250 0.250 0.250
4 O 0.000 0.000 0.247

Spin magnetization   0.02 μB/f.u.
Total energy   -7.118 eV/atom

(15)
The following is a DFT calculation (GGA-PBE) of a geometry-optimized SrReO3 structure.

a b c (Å): 3.213 10.212 7.559
angles (deg): 90.00 90.00 90.00
Space group Cmcm (No. 63)
Symmetry-distinct sites (fractional):
1 Sr 0.000 0.248 0.250
2 Re 0.000 0.500 0.000
3 O 0.000 0.125 0.546
4 O 0.000 0.448 0.750

Spin magnetization   1.42 μB/f.u.
Total energy   -7.675 eV/atom

(16)
The following is a DFT calculation (GGA-PBE) of a geometry-optimized Sr7Re4O19 structure.

a b c (Å): 13.641 5.568 10.392
angles (deg): 90.00 98.62 90.00
Space group C2/m (No. 12)
Symmetry-distinct sites (fractional):
1 Sr 0.000 0.000 0.000
2 Sr 0.082 0.000 0.664
3 Sr 0.142 0.500 0.456
4 Sr 0.211 0.500 0.090
5 Re 0.034 0.500 0.822
6 Re 0.171 0.000 0.280
7 O 0.000 0.500 0.000
8 O 0.045 0.500 0.644
9 O 0.071 0.254 0.216
10 O 0.104 0.000 0.432
11 O 0.126 0.252 0.874
12 O 0.197 0.000 0.111
13 O 0.241 0.257 0.654

Spin magnetization   2.06 μB/f.u.
Total energy   -7.486 eV/atom

(17)
The following is a DFT calculation (GGA-PBE) of a geometry-optimized SrRe2O6 structure.

a b c (Å): 5.3371 5.3371 5.1197
angles (deg): 90.00 90.00 120.00
Space group P-31m (No. 162)
Symmetry-distinct sites (fractional):
1 Sr 0.0000 0.0000 0.0000
2 Re 0.3333 0.6667 0.5000
3 O 0.0000 0.3797 0.2960

Spin magnetization   1.99 μB/f.u.
Total energy   -8.034 eV/atom

What are the theoretical density values for these records? In order: 8.58, 6.90, 9.83, 9.21, 8.40, 8.31, 8.89, 8.82, 6.07, 8.07, 8.81, 9.73, 9.80, 8.19, 8.62, 7.07, 7.31 g/cm3.